No. 1
First-principles (PBE) data for a relaxed Rb2ZrGaCl6 crystal, as listed in Alexandria.

Cell and atoms, written as CIF:
```
data_Rb2ZrGaCl6
_chemical_formula_sum 'Rb12 Zr6 Ga6 Cl36'
_symmetry_space_group_name_H-M 'R -3 m'
_symmetry_Int_Tables_number 166
_symmetry_space_group_name_Hall '-R 3 2"'
_cell_length_a 7.5379
_cell_length_b 7.5379
_cell_length_c 41.2429
_cell_angle_alpha 90.00
_cell_angle_beta 90.00
_cell_angle_gamma 120.00
loop_
_atom_site_label
_atom_site_type_symbol
_atom_site_fract_x
_atom_site_fract_y
_atom_site_fract_z
Rb1 Rb 0.0000 0.0000 0.1356
Rb2 Rb 0.0000 0.0000 0.3049
Zr1 Zr 0.0000 0.0000 0.0000
Zr2 Zr 0.0000 0.0000 0.5000
Ga1 Ga 0.0000 0.0000 0.4193
Cl1 Cl 0.0008 0.5004 0.1326
Cl2 Cl 0.0146 0.5073 0.7023
```

Summary:
Fermi-level density of states: 24.450 states/eV per cell
energy relative to the lowest polymorph listed for this composition: 0 meV per atom

No. 2
First-principles (PBE) data for a relaxed AlFe3H crystal, as listed in Alexandria.

Cell and atoms, written as CIF:
```
data_AlFe3H
_chemical_formula_sum 'Al2 Fe6 H2'
_symmetry_space_group_name_H-M 'I 4 m m'
_symmetry_Int_Tables_number 107
_symmetry_space_group_name_Hall 'I 4 -2'
_cell_length_a 3.657
_cell_length_b 3.657
_cell_length_c 7.488
_cell_angle_alpha 90.00
_cell_angle_beta 90.00
_cell_angle_gamma 90.00
loop_
_atom_site_label
_atom_site_type_symbol
_atom_site_fract_x
_atom_site_fract_y
_atom_site_fract_z
Al1 Al 0.000 0.000 0.000
Fe1 Fe 0.000 0.000 0.475
Fe2 Fe 0.000 0.500 0.244
H1 H 0.000 0.000 0.708
```

Summary:
Fermi-level density of states: 6.054 states/eV per cell
energy relative to the lowest polymorph listed for this composition: 53 meV per atom

No. 3
First-principles (PBE) data for a relaxed ErPaAl2O8 crystal, as listed in Alexandria.

Cell and atoms, written as CIF:
```
data_ErPaAl2O8
_chemical_formula_sum 'Er2 Pa2 Al4 O16'
_symmetry_space_group_name_H-M 'I -4 m 2'
_symmetry_Int_Tables_number 119
_symmetry_space_group_name_Hall 'I -4 -2'
_cell_length_a 6.937
_cell_length_b 6.937
_cell_length_c 6.535
_cell_angle_alpha 90.00
_cell_angle_beta 90.00
_cell_angle_gamma 90.00
loop_
_atom_site_label
_atom_site_type_symbol
_atom_site_fract_x
_atom_site_fract_y
_atom_site_fract_z
Er1 Er 0.000 0.000 0.000
Pa1 Pa 0.000 0.500 0.250
Al1 Al 0.000 0.000 0.500
Al2 Al 0.000 0.500 0.750
O1 O 0.000 0.189 0.318
O2 O 0.000 0.317 0.936
```

Summary:
Fermi-level density of states: 17.219 states/eV per cell
electronic total energy: -0.58502 Ry per atom

No. 4
First-principles (PBE) data for a relaxed AlCrGe crystal, as listed in Alexandria.

Cell and atoms, written as CIF:
```
data_AlCrGe
_chemical_formula_sum 'Al1 Cr1 Ge1'
_symmetry_space_group_name_H-M 'P -6 m 2'
_symmetry_Int_Tables_number 187
_symmetry_space_group_name_Hall 'P -6 2'
_cell_length_a 4.2969
_cell_length_b 4.2969
_cell_length_c 2.6910
_cell_angle_alpha 90.00
_cell_angle_beta 90.00
_cell_angle_gamma 120.00
loop_
_atom_site_label
_atom_site_type_symbol
_atom_site_fract_x
_atom_site_fract_y
_atom_site_fract_z
Al1 Al 0.0000 0.0000 0.0000
Cr1 Cr 0.6667 0.3333 0.5000
Ge1 Ge 0.3333 0.6667 0.5000
```

Summary:
Fermi-level density of states: 1.184 states/eV per cell
energy relative to the lowest polymorph listed for this composition: 313 meV per atom
formation energy: 0.198 eV/atom

No. 5
First-principles (PBE) data for a relaxed Zn2HgBPt crystal, as listed in Alexandria.

Cell and atoms, written as CIF:
```
data_Zn2HgBPt
_chemical_formula_sum 'Zn2 Hg1 B1 Pt1'
_symmetry_space_group_name_H-M 'P 4/m m m'
_symmetry_Int_Tables_number 123
_symmetry_space_group_name_Hall '-P 4 2'
_cell_length_a 4.899
_cell_length_b 4.899
_cell_length_c 5.185
_cell_angle_alpha 90.00
_cell_angle_beta 90.00
_cell_angle_gamma 90.00
loop_
_atom_site_label
_atom_site_type_symbol
_atom_site_fract_x
_atom_site_fract_y
_atom_site_fract_z
Zn1 Zn 0.000 0.500 0.000
Hg1 Hg 0.000 0.000 0.000
B1 B 0.500 0.500 0.500
Pt1 Pt 0.000 0.000 0.500
```

Summary:
Fermi-level density of states: 2.575 states/eV per cell
formation energy: 1.565 eV/atom

No. 6
First-principles (PBE) data for a relaxed BaNi2 crystal, as listed in Alexandria.

Cell and atoms, written as CIF:
```
data_BaNi2
_chemical_formula_sum 'Ba4 Ni8'
_symmetry_space_group_name_H-M 'C m c m'
_symmetry_Int_Tables_number 63
_symmetry_space_group_name_Hall '-C 2c 2'
_cell_length_a 4.234
_cell_length_b 11.247
_cell_length_c 5.064
_cell_angle_alpha 90.00
_cell_angle_beta 90.00
_cell_angle_gamma 90.00
loop_
_atom_site_label
_atom_site_type_symbol
_atom_site_fract_x
_atom_site_fract_y
_atom_site_fract_z
Ba1 Ba 0.000 0.205 0.250
Ni1 Ni 0.000 0.040 0.750
Ni2 Ni 0.000 0.500 0.000
```

Summary:
Fermi-level density of states: 10.005 states/eV per cell
formation energy: 0.130 eV/atom

No. 7
First-principles (PBE) data for a relaxed Ho7Co2Bi2 crystal, as listed in Alexandria.

Cell and atoms, written as CIF:
```
data_Ho7Co2Bi2
_chemical_formula_sum 'Ho14 Co4 Bi4'
_symmetry_space_group_name_H-M 'I m m 2'
_symmetry_Int_Tables_number 44
_cell_length_a 3.638
_cell_length_b 16.300
_cell_length_c 9.858
_cell_angle_alpha 90.00
_cell_angle_beta 90.00
_cell_angle_gamma 90.00
loop_
_symmetry_equiv_pos_as_xyz
'x,y,z'
'-x,-y,z'
'-x,y,z'
'x,-y,z'
'x+1/2,y+1/2,z+1/2'
'-x+1/2,-y+1/2,z+1/2'
'-x+1/2,y+1/2,z+1/2'
'x+1/2,-y+1/2,z+1/2'
loop_
_atom_site_label
_atom_site_type_symbol
_atom_site_fract_x
_atom_site_fract_y
_atom_site_fract_z
Ho1 Ho 0.000 0.000 0.000
Ho2 Ho 0.000 0.137 0.559
Ho3 Ho 0.000 0.317 0.367
Ho4 Ho 0.000 0.343 0.712
Co1 Co 0.000 0.238 0.054
Bi1 Bi 0.000 0.000 0.324
Bi2 Bi 0.000 0.500 0.227
```

Summary:
Fermi-level density of states: 20.188 states/eV per cell
formation energy: -0.382 eV/atom

No. 8
First-principles (PBE) data for a relaxed LiGeI2 crystal, as listed in Alexandria.

Cell and atoms, written as CIF:
```
data_LiGeI2
_chemical_formula_sum 'Li4 Ge4 I8'
_symmetry_space_group_name_H-M 'I -4 2 d'
_symmetry_Int_Tables_number 122
_symmetry_space_group_name_Hall 'I -4 2bw'
_cell_length_a 6.093
_cell_length_b 6.093
_cell_length_c 16.238
_cell_angle_alpha 90.00
_cell_angle_beta 90.00
_cell_angle_gamma 90.00
loop_
_atom_site_label
_atom_site_type_symbol
_atom_site_fract_x
_atom_site_fract_y
_atom_site_fract_z
Li1 Li 0.000 0.000 0.000
Ge1 Ge 0.000 0.000 0.500
I1 I 0.236 0.250 0.125
```

Summary:
Fermi-level density of states: 7.998 states/eV per cell
energy relative to the lowest polymorph listed for this composition: 25 meV per atom

No. 9
First-principles (PBE) data for a relaxed AlFe3 crystal, as listed in Alexandria.

Cell and atoms, written as CIF:
```
data_AlFe3
_chemical_formula_sum 'Al3 Fe9'
_symmetry_space_group_name_H-M 'R -3 m'
_symmetry_Int_Tables_number 166
_symmetry_space_group_name_Hall '-R 3 2"'
_cell_length_a 8.1352
_cell_length_b 8.1352
_cell_length_c 2.5175
_cell_angle_alpha 90.00
_cell_angle_beta 90.00
_cell_angle_gamma 120.00
loop_
_atom_site_label
_atom_site_type_symbol
_atom_site_fract_x
_atom_site_fract_y
_atom_site_fract_z
Al1 Al 0.0000 0.0000 0.0000
Fe1 Fe 0.0000 0.5000 0.0000
```

Summary:
Fermi-level density of states: 7.279 states/eV per cell
formation energy: -0.132 eV/atom

No. 10
First-principles (PBE) data for a relaxed Tb2Ho5Tl crystal, as listed in Alexandria.

Cell and atoms, written as CIF:
```
data_Tb2Ho5Tl
_chemical_formula_sum 'Tb4 Ho10 Tl2'
_symmetry_space_group_name_H-M 'P b a m'
_symmetry_Int_Tables_number 55
_cell_length_a 6.960
_cell_length_b 13.977
_cell_length_c 4.939
_cell_angle_alpha 90.00
_cell_angle_beta 90.00
_cell_angle_gamma 90.00
loop_
_symmetry_equiv_pos_as_xyz
'x,y,z'
'-x,-y,-z'
'-x,-y,z'
'x,y,-z'
'x+1/2,-y+1/2,-z'
'-x+1/2,y+1/2,z'
'-x+1/2,y+1/2,-z'
'x+1/2,-y+1/2,z'
loop_
_atom_site_label
_atom_site_type_symbol
_atom_site_fract_x
_atom_site_fract_y
_atom_site_fract_z
Tb1 Tb 0.244 0.127 0.000
Ho1 Ho 0.000 0.000 0.500
Ho2 Ho 0.001 0.256 0.500
Ho3 Ho 0.245 0.875 0.000
Tl1 Tl 0.000 0.500 0.500
```

Summary:
Fermi-level density of states: 21.227 states/eV per cell
energy relative to the lowest polymorph listed for this composition: 0 meV per atom
formation energy: -0.053 eV/atom

No. 11
First-principles (PBE) data for a relaxed MgRe2Ag crystal, as listed in Alexandria.

Cell and atoms, written as CIF:
```
data_MgRe2Ag
_chemical_formula_sum 'Mg3 Re6 Ag3'
_symmetry_space_group_name_H-M 'R -3 m'
_symmetry_Int_Tables_number 166
_symmetry_space_group_name_Hall '-R 3 2"'
_cell_length_a 2.7827
_cell_length_b 2.7827
_cell_length_c 28.9128
_cell_angle_alpha 90.00
_cell_angle_beta 90.00
_cell_angle_gamma 120.00
loop_
_atom_site_label
_atom_site_type_symbol
_atom_site_fract_x
_atom_site_fract_y
_atom_site_fract_z
Mg1 Mg 0.0000 0.0000 0.0000
Re1 Re 0.0000 0.0000 0.2515
Ag1 Ag 0.0000 0.0000 0.5000
```

Summary:
Fermi-level density of states: 16.172 states/eV per cell
formation energy: 0.529 eV/atom

No. 12
First-principles (PBE) data for a relaxed Lu2AlPb crystal, as listed in Alexandria.

Cell and atoms, written as CIF:
```
data_Lu2AlPb
_chemical_formula_sum 'Lu2 Al1 Pb1'
_symmetry_space_group_name_H-M 'P 4/m m m'
_symmetry_Int_Tables_number 123
_symmetry_space_group_name_Hall '-P 4 2'
_cell_length_a 4.794
_cell_length_b 4.794
_cell_length_c 4.290
_cell_angle_alpha 90.00
_cell_angle_beta 90.00
_cell_angle_gamma 90.00
loop_
_atom_site_label
_atom_site_type_symbol
_atom_site_fract_x
_atom_site_fract_y
_atom_site_fract_z
Lu1 Lu 0.000 0.500 0.000
Al1 Al 0.000 0.000 0.500
Pb1 Pb 0.500 0.500 0.500
```

Summary:
Fermi-level density of states: 2.774 states/eV per cell
formation energy: -0.302 eV/atom

Number 1: density 2.67 g cm⁻³, size of the total moment 1.01 μB/f.u.. Number 2: density 6.48 g cm⁻³, size of the total moment 6.21 μB/f.u.. Number 3: density 6.13 g cm⁻³, size of the total moment 1.37 μB/f.u.. Number 4: density 5.85 g cm⁻³, size of the total moment 0.00 μB/f.u.. Number 5: density 7.17 g cm⁻³, size of the total moment 0.00 μB/f.u.. Number 6: density 7.02 g cm⁻³, size of the total moment 0.00 μB/f.u.. Number 7: density 9.60 g cm⁻³, size of the total moment 0.00 μB/f.u.. Number 8: density 3.67 g cm⁻³, size of the total moment 0.00 μB/f.u.. Number 9: density 6.72 g cm⁻³, size of the total moment 6.54 μB/f.u.. Number 10: density 9.31 g cm⁻³, size of the total moment 0.00 μB/f.u.. Number 11: density 12.96 g cm⁻³, size of the total moment 0.00 μB/f.u.. Number 12: density 9.84 g cm⁻³, size of the total moment 0.00 μB/f.u..